Na5B8C2 | PBE | optimized geometry

Lattice parameters (Å, degrees): 7.8075 7.8075 10.4235 122.41 122.41 37.91
Positions (direct):
Na  0.9994  0.0018  0.0009
Na  0.7973  0.7995  0.4966
Na  0.2039  0.1991  0.0042
Na  0.0000  0.9967  0.4957
Na  0.3977  0.4036  0.0023
Na  0.1964  0.2023  0.4977
Na  0.6033  0.6000  0.0043
Na  0.4009  0.3961  0.4958
Na  0.8005  0.8027  0.0034
Na  0.5982  0.6006  0.4991
B  0.2211  0.5693  0.7502
B  0.9680  0.6320  0.2500
B  0.0311  0.3568  0.2500
B  0.1867  0.8195  0.7498
B  0.4477  0.7577  0.7500
B  0.2432  0.5689  0.2500
B  0.3574  0.0330  0.7499
B  0.6119  0.9881  0.7500
B  0.4341  0.7658  0.2500
B  0.5670  0.2426  0.7501
B  0.8423  0.1523  0.7500
B  0.6160  0.9840  0.2500
B  0.7805  0.4133  0.7502
B  0.0307  0.3789  0.7498
B  0.8342  0.1659  0.2500
B  0.9509  0.6491  0.7500
C  0.1760  0.8300  0.2501
C  0.3654  0.0316  0.2500
C  0.5684  0.2346  0.2500
C  0.7700  0.4240  0.2499

Results
polymorph energy (0 for the lowest one) = 47 meV per atom
crystal system = monoclinic
DFT formation energy = 217 meV per atom